## Dy2Mo2C3 (PBEsol)

Data for a relaxed Dy2Mo2C3 crystal.

**ΔE_f**: -0.42 eV per atom
**Fermi-level density of states**: 1.56 states/eV/cell
**SG**: No. 12
**Size of the total moment**: 0.00 μB per atom
**DFT total energy**: -65.4 eV per formula unit

a b c (Å): 6.050 6.050 5.659
angles (deg): 111.48 111.48 31.70
Positions (direct):
Dy  0.110  0.110  0.323
Dy  0.890  0.890  0.677
Mo  0.343  0.343  0.174
Mo  0.657  0.657  0.826
C  0.251  0.251  0.766
C  0.500  0.500  0.500
C  0.749  0.749  0.234